No. 1
Density functional theory data (PBE) for a geometry-optimized ZnH7C3NO6 structure.

space-group type: P6_3, No. 173
calculated total energy: -5.900 eV/atom
crystal system: hexagonal

a b c (Å): 12.384 12.384 8.242
angles (deg): 90.00 90.00 120.00
Positions (direct):
C 0.150 0.290 0.146
C 0.140 0.850 0.146
C 0.710 0.860 0.146
C 0.812 0.186 0.171
C 0.374 0.188 0.171
C 0.814 0.626 0.171
C 0.043 0.515 0.178
C 0.485 0.528 0.178
C 0.472 0.957 0.178
C 0.290 0.140 0.646
C 0.860 0.150 0.646
C 0.850 0.710 0.646
C 0.186 0.374 0.671
C 0.626 0.812 0.671
C 0.188 0.814 0.671
C 0.528 0.043 0.678
C 0.515 0.472 0.678
C 0.957 0.485 0.678
H 0.576 0.269 0.001
H 0.731 0.307 0.001
H 0.693 0.424 0.001
H 0.243 0.601 0.003
H 0.399 0.642 0.003
H 0.358 0.757 0.003
H 0.215 0.390 0.123
H 0.174 0.785 0.123
H 0.610 0.826 0.123
H 0.272 0.130 0.182
H 0.870 0.142 0.182
H 0.858 0.728 0.182
H 0.511 0.058 0.198
H 0.942 0.453 0.198
H 0.547 0.489 0.198
H 0.063 0.091 0.328
H 0.028 0.937 0.328
H 0.909 0.972 0.328
H 0.333 0.667 0.337
H 0.667 0.333 0.339
H 0.000 0.000 0.493
H 0.307 0.576 0.501
H 0.269 0.693 0.501
H 0.424 0.731 0.501
H 0.642 0.243 0.503
H 0.601 0.358 0.503
H 0.757 0.399 0.503
H 0.390 0.174 0.623
H 0.826 0.215 0.623
H 0.785 0.610 0.623
H 0.142 0.272 0.682
H 0.130 0.858 0.682
H 0.728 0.870 0.682
H 0.453 0.511 0.698
H 0.058 0.547 0.698
H 0.489 0.942 0.698
H 0.091 0.028 0.828
H 0.972 0.063 0.828
H 0.937 0.909 0.828
H 0.667 0.333 0.837
H 0.333 0.667 0.839
H 0.000 0.000 0.993
N 0.000 0.000 0.369
N 0.333 0.667 0.461
N 0.667 0.333 0.463
N 0.000 0.000 0.869
N 0.667 0.333 0.961
N 0.333 0.667 0.963
O 0.059 0.230 0.051
O 0.770 0.829 0.051
O 0.171 0.941 0.051
O 0.427 0.163 0.057
O 0.837 0.264 0.057
O 0.736 0.573 0.057
O 0.092 0.491 0.058
O 0.509 0.601 0.058
O 0.399 0.908 0.058
O 0.171 0.241 0.268
O 0.070 0.829 0.268
O 0.759 0.930 0.268
O 0.724 0.157 0.271
O 0.433 0.276 0.271
O 0.843 0.567 0.271
O 0.394 0.498 0.272
O 0.104 0.606 0.272
O 0.502 0.896 0.272
O 0.829 0.059 0.551
O 0.230 0.171 0.551
O 0.941 0.770 0.551
O 0.264 0.427 0.557
O 0.163 0.736 0.557
O 0.573 0.837 0.557
O 0.601 0.092 0.558
O 0.491 0.399 0.558
O 0.908 0.509 0.558
O 0.241 0.070 0.768
O 0.930 0.171 0.768
O 0.829 0.759 0.768
O 0.157 0.433 0.771
O 0.567 0.724 0.771
O 0.276 0.843 0.771
O 0.498 0.104 0.772
O 0.896 0.394 0.772
O 0.606 0.502 0.772
Zn 0.331 0.335 0.413
Zn 0.004 0.669 0.413
Zn 0.665 0.996 0.413
Zn 0.335 0.004 0.913
Zn 0.996 0.331 0.913
Zn 0.669 0.665 0.913

---

No. 2
Density functional theory data (PBE) for a geometry-optimized NdMgAuS3 structure.

space-group type: Cmcm, No. 63
calculated total energy: -4.765 eV/atom
crystal system: orthorhombic

a b c (Å): 6.636 6.636 10.686
angles (deg): 90.00 90.00 33.25
Positions (direct):
Au 0.479 0.479 0.250
Au 0.521 0.521 0.750
Mg 0.768 0.768 0.250
Mg 0.232 0.232 0.750
Nd 0.000 0.000 0.000
Nd 0.000 0.000 0.500
S 0.347 0.347 0.079
S 0.117 0.117 0.250
S 0.347 0.347 0.421
S 0.653 0.653 0.579
S 0.883 0.883 0.750
S 0.653 0.653 0.921

---

No. 3
Density functional theory data (PBE) for a geometry-optimized CoSiSn structure.

space-group type: F-43m, No. 216
calculated total energy: -5.603 eV/atom
crystal system: cubic

a b c (Å): 4.112 4.112 4.112
angles (deg): 60.00 60.00 60.00
Positions (direct):
Co 0.000 0.000 0.000
Si 0.250 0.250 0.250
Sn 0.750 0.750 0.750

---

No. 4
Density functional theory data (PBE) for a geometry-optimized YMgFeSi structure.

space-group type: F-43m, No. 216
calculated total energy: -5.413 eV/atom
crystal system: cubic

a b c (Å): 4.623 4.623 4.623
angles (deg): 60.00 60.00 60.00
Positions (direct):
Fe 0.750 0.750 0.750
Mg 0.500 0.500 0.500
Si 0.000 0.000 0.000
Y 0.250 0.250 0.250

---

No. 5
Density functional theory data (PBE) for a geometry-optimized BaCdGe2Pd structure.

space-group type: P4/nmm, No. 129
calculated total energy: -3.989 eV/atom
crystal system: tetragonal

a b c (Å): 4.602 4.602 11.095
angles (deg): 90.00 90.00 90.00
Positions (direct):
Ba 0.000 0.500 0.263
Ba 0.500 0.000 0.737
Cd 0.000 0.000 0.000
Cd 0.500 0.500 0.000
Ge 0.500 0.000 0.157
Ge 0.000 0.000 0.500
Ge 0.500 0.500 0.500
Ge 0.000 0.500 0.843
Pd 0.500 0.000 0.389
Pd 0.000 0.500 0.611

---

No. 6
Density functional theory data (PBE) for a geometry-optimized CuH16C12N2Cl4 structure.

space-group type: C2/c, No. 15
calculated total energy: -5.696 eV/atom
crystal system: monoclinic

a b c (Å): 10.022 10.022 12.776
angles (deg): 120.84 120.84 49.18
Positions (direct):
C 0.495 0.833 0.038
C 0.646 0.211 0.058
C 0.456 0.007 0.121
C 0.815 0.720 0.136
C 0.598 0.034 0.213
C 0.780 0.889 0.221
C 0.111 0.220 0.279
C 0.966 0.402 0.287
C 0.280 0.185 0.364
C 0.993 0.544 0.379
C 0.789 0.354 0.442
C 0.167 0.505 0.462
C 0.833 0.495 0.538
C 0.211 0.646 0.558
C 0.007 0.456 0.621
C 0.720 0.815 0.636
C 0.034 0.598 0.713
C 0.889 0.780 0.721
C 0.220 0.111 0.779
C 0.402 0.966 0.787
C 0.185 0.280 0.864
C 0.544 0.993 0.879
C 0.354 0.789 0.942
C 0.505 0.167 0.962
Cl 0.105 0.736 0.050
Cl 0.505 0.720 0.250
Cl 0.280 0.495 0.250
Cl 0.264 0.895 0.450
Cl 0.736 0.105 0.550
Cl 0.720 0.505 0.750
Cl 0.495 0.280 0.750
Cl 0.895 0.264 0.950
Cu 0.282 0.718 0.250
Cu 0.718 0.282 0.750
H 0.289 0.435 0.009
H 0.682 0.252 0.015
H 0.772 0.091 0.090
H 0.314 0.120 0.112
H 0.953 0.599 0.135
H 0.596 0.326 0.139
H 0.095 0.106 0.208
H 0.829 0.436 0.222
H 0.564 0.171 0.278
H 0.894 0.905 0.292
H 0.674 0.404 0.361
H 0.401 0.047 0.365
H 0.880 0.686 0.388
H 0.909 0.228 0.410
H 0.748 0.318 0.485
H 0.565 0.711 0.491
H 0.435 0.289 0.509
H 0.252 0.682 0.515
H 0.091 0.772 0.590
H 0.120 0.314 0.612
H 0.599 0.953 0.635
H 0.326 0.596 0.639
H 0.106 0.095 0.708
H 0.436 0.829 0.722
H 0.171 0.564 0.778
H 0.905 0.894 0.792
H 0.404 0.674 0.861
H 0.047 0.401 0.865
H 0.686 0.880 0.888
H 0.228 0.909 0.910
H 0.318 0.748 0.985
H 0.711 0.565 0.991
N 0.674 0.697 0.050
N 0.303 0.326 0.450
N 0.697 0.674 0.550
N 0.326 0.303 0.950